# 1
DFT (PBE) results for BeTlB3 after structural relaxation.

The space group is Pm-3m (No. 221) and the conventional cell measures 3.9593, 3.9593 and 3.9593 Å, with angles of 90.00, 90.00 and 90.00 degrees. Symmetry generates all atoms from Be at (0.0000, 0.0000, 0.0000), Tl at (0.5000, 0.5000, 0.5000) and B at (0.0000, 0.0000, 0.5000).

Its magnetic moment is 0.00 μB/cell. For the offset from the most stable computed form, the calculation gives 0.000 eV per atom.



# 2
DFT (PBE) results for CsKSeI after structural relaxation.

The space group is F-43m (No. 216) and the conventional cell measures 8.7568, 8.7568 and 8.7568 Å, with angles of 90.00, 90.00 and 90.00 degrees. Symmetry generates all atoms from Cs at (0.0000, 0.0000, 0.0000), K at (0.0000, 0.0000, 0.5000), Se at (0.2500, 0.2500, 0.7500) and I at (0.2500, 0.2500, 0.2500).

The energy relative to the elements, uncorrected comes out at -0.9237 eV/atom. Its magnetic moment is 4.05 μB/cell.



# 3
DFT (PBE) results for SrInGa2Os after structural relaxation.

The space group is P4/mmm (No. 123) and the conventional cell measures 4.8586, 4.8586 and 5.2064 Å, with angles of 90.00, 90.00 and 90.00 degrees. Symmetry generates all atoms from Sr at (0.0000, 0.0000, 0.0000), In at (0.5000, 0.5000, 0.0000), Ga at (0.0000, 0.5000, 0.5000) and Os at (0.5000, 0.5000, 0.5000).

Its magnetic moment is 0.00 μB/cell. As for the total energy: -4.535 eV per atom.



# 4
DFT (PBE) results for Hg23SbPb6 after structural relaxation.

The space group is Fm-3m (No. 225) and the conventional cell measures 14.8966, 14.8966 and 14.8966 Å, with angles of 90.00, 90.00 and 90.00 degrees. Symmetry generates all atoms from Hg at (0.0000, 0.0000, 0.0000), Hg at (0.0000, 0.2500, 0.2500), Hg at (0.1234, 0.1234, 0.1234), Hg at (0.1498, 0.1498, 0.3502), Sb at (0.0000, 0.0000, 0.5000) and Pb at (0.0000, 0.0000, 0.2793).

The energy relative to the elements, uncorrected comes out at 0.0627 eV/atom. Its magnetic moment is 0.00 μB/cell.



Look up the magnetic moment of the first one. 0.00 μB/cell